(1)
InW2Au | PBE-GGA | optimized geometry

SG: C2/m

Cell: 5.2072 5.2072 4.5600 Å, 103.96 103.96 36.08°
Positions (direct):
1 In 0.0000 0.0000 0.0000
2 W 0.2470 0.2470 0.7429
3 W 0.7530 0.7530 0.2571
4 Au 0.5000 0.5000 0.5000

(2)
In2WAu | PBE-GGA | optimized geometry

Energy relative to the lowest polymorph listed for this composition, meV/atom: 135.2
SG: Pmm2

Cell: 3.0249 4.3799 5.9207 Å, 90.00 90.00 90.00°
Positions (direct):
1 In 0.0000 0.0000 0.0000
2 In 0.5000 0.5000 0.3126
3 W 0.0000 0.0000 0.5084
4 Au 0.5000 0.5000 0.7818

(3)
In2WAu | PBE-GGA | optimized geometry

Energy relative to the lowest polymorph listed for this composition, meV/atom: 0.0
SG: Cmmm

Cell: 5.1624 5.1624 3.0042 Å, 90.00 90.00 106.92°
Positions (direct):
1 In 0.0000 0.5000 0.0000
2 In 0.5000 0.0000 0.0000
3 W 0.0000 0.0000 0.5000
4 Au 0.5000 0.5000 0.5000

(4)
InW2Au | PBE-GGA | optimized geometry

SG: P4/mmm

Cell: 3.9196 3.9196 4.5616 Å, 90.00 90.00 90.00°
Positions (direct):
1 In 0.0000 0.0000 0.0000
2 W 0.0000 0.5000 0.5000
3 W 0.5000 0.0000 0.5000
4 Au 0.5000 0.5000 0.0000

(5)
In2WAu | PBE-GGA | optimized geometry

Energy relative to the lowest polymorph listed for this composition, meV/atom: 145.1
SG: I-4m2

Cell: 5.5596 5.5596 5.5596 Å, 137.61 137.61 61.51°
Positions (direct):
1 In 0.0000 0.0000 0.0000
2 In 0.7500 0.2500 0.5000
3 W 0.2500 0.7500 0.5000
4 Au 0.5000 0.5000 0.0000

(6)
In2WAu | PBE-GGA | optimized geometry

Energy relative to the lowest polymorph listed for this composition, meV/atom: 29.4
SG: R3m

Cell: 9.6769 9.6769 9.6769 Å, 18.48 18.48 18.48°
Positions (direct):
1 In 0.0000 0.0000 0.0000
2 In 0.2400 0.2400 0.2400
3 W 0.7488 0.7488 0.7488
4 Au 0.4906 0.4906 0.4906

no.,ρ (kg/m3),total magnetization (μB per cell),formation enthalpy at 0 K (eV per atom)
1,16018,0.00,0.46
2,12922,0.00,0.48
3,13234,0.00,0.34
4,16100,0.00,0.51
5,13125,0.00,0.49
6,12741,0.00,0.37